No. 1
First-principles (GGA-PBEsol) data for La2Pb after structural relaxation, as listed in Alexandria.

```
La2Pb
1.0
5.6416 0.0000 0.0000
-2.8208 4.8858 0.0000
0.0000 0.0000 6.8225
La Pb
4 2
Direct
0.0000 0.0000 0.0000
0.0000 0.0000 0.5000
0.3333 0.6667 0.2500
0.6667 0.3333 0.7500
0.3333 0.6667 0.7500
0.6667 0.3333 0.2500
```

Calculated values
- formation energy from the elements (meV per atom) = -497
- M_tot (μB per atom) = 0.329
- crystal system = hexagonal
- D(E_F) (states/eV/f.u.) = 3.92
- VASP energy (eV/atom) = -5.39
- calculated density (g cm⁻³) = 8.57

=====

No. 2
First-principles (GGA-PBEsol) data for La3Pb after structural relaxation, as listed in Alexandria.

```
La3Pb
1.0
5.4679 3.1569 1.2064
-5.4679 3.1569 1.2064
0.0000 -6.3138 1.2064
La Pb
3 1
Direct
0.0000 0.5000 0.5000
0.5000 0.0000 0.5000
0.5000 0.5000 0.0000
0.0000 0.0000 0.0000
```

Calculated values
- formation energy from the elements (meV per atom) = -265
- M_tot (μB per atom) = 0.000
- crystal system = trigonal
- D(E_F) (states/eV/f.u.) = 4.42
- VASP energy (eV/atom) = -5.27
- calculated density (g cm⁻³) = 8.29

=====

No. 3
First-principles (GGA-PBEsol) data for La3Pb after structural relaxation, as listed in Alexandria.

```
La3Pb
1.0
5.8518 -1.7889 0.0000
5.8518 1.7889 0.0000
-0.8084 0.0000 5.9395
La Pb
3 1
Direct
0.0000 0.0000 0.0000
0.2373 0.2373 0.7303
0.7627 0.7627 0.2697
0.5000 0.5000 0.5000
```

Calculated values
- formation energy from the elements (meV per atom) = -321
- M_tot (μB per atom) = 0.000
- crystal system = monoclinic
- D(E_F) (states/eV/f.u.) = 4.03
- VASP energy (eV/atom) = -5.33
- calculated density (g cm⁻³) = 8.33